#a
A plane-wave DFT calculation with PBE was carried out for TlH3Os after structural relaxation.

abc: 3.948 3.948 3.948
angles: 90.00 90.00 90.00
Atoms (fractional coordinates):
1 Tl 0.000 0.000 0.000
2 H 0.000 0.000 0.500
3 H 0.000 0.500 0.000
4 H 0.500 0.000 0.000
5 Os 0.500 0.500 0.500

Summary:
Density, g/cm³: 10.732
Total magnetization, Bohr magnetons per cell: 3.72
Crystal system: cubic
DOS at the Fermi energy, states/eV/f.u.: 4.56



#b
A plane-wave DFT calculation with PBE was carried out for TlH3Os after structural relaxation.

abc: 3.690 3.690 3.690
angles: 90.00 90.00 90.00
Atoms (fractional coordinates):
1 Tl 0.000 0.000 0.000
2 H 0.000 0.500 0.500
3 H 0.500 0.000 0.500
4 H 0.500 0.500 0.000
5 Os 0.500 0.500 0.500

Summary:
Density, g/cm³: 13.138
Total magnetization, Bohr magnetons per cell: 0.00
Crystal system: cubic
DOS at the Fermi energy, states/eV/f.u.: 1.90



Energies relative to the minimum, meV per atom: #a 1284; #b 0



#a
A plane-wave DFT calculation with PBE was carried out for VH2Os after structural relaxation.

abc: 5.021 5.021 5.021
angles: 132.39 132.39 69.61
Atoms (fractional coordinates):
1 V 0.000 0.000 0.000
2 V 0.750 0.250 0.500
3 H 0.120 0.625 0.995
4 H 0.375 0.370 0.495
5 H 0.630 0.125 0.005
6 H 0.875 0.880 0.505
7 Os 0.250 0.750 0.500
8 Os 0.500 0.500 0.000

Summary:
Density, g/cm³: 11.923
Total magnetization, Bohr magnetons per cell: 0.00
Crystal system: tetragonal
DOS at the Fermi energy, states/eV/f.u.: 1.73



#b
A plane-wave DFT calculation with PBE was carried out for VH2Os after structural relaxation.

abc: 3.650 3.650 3.650
angles: 60.00 60.00 60.00
Atoms (fractional coordinates):
1 V 0.000 0.000 0.000
2 H 0.250 0.250 0.250
3 H 0.750 0.750 0.750
4 Os 0.500 0.500 0.500

Summary:
Density, g/cm³: 11.740
Total magnetization, Bohr magnetons per cell: 0.09
Crystal system: cubic
DOS at the Fermi energy, states/eV/f.u.: 2.19



Energies relative to the minimum, meV per atom: #a 0; #b 557



#a
A plane-wave DFT calculation with PBE was carried out for VHOs2 after structural relaxation.

abc: 4.947 4.947 4.947
angles: 105.46 105.46 117.84
Atoms (fractional coordinates):
1 V 0.000 0.000 0.000
2 V 0.750 0.250 0.500
3 H 0.250 0.750 0.500
4 H 0.500 0.500 0.000
5 Os 0.212 0.625 0.087
6 Os 0.375 0.462 0.587
7 Os 0.538 0.125 0.913
8 Os 0.875 0.788 0.413

Summary:
Density, g/cm³: 15.660
Total magnetization, Bohr magnetons per cell: 0.00
Crystal system: tetragonal
DOS at the Fermi energy, states/eV/f.u.: 1.48



#b
A plane-wave DFT calculation with PBE was carried out for VHOs2 after structural relaxation.

abc: 4.093 4.093 4.093
angles: 60.00 60.00 60.00
Atoms (fractional coordinates):
1 V 0.000 0.000 0.000
2 H 0.500 0.500 0.500
3 Os 0.250 0.250 0.250
4 Os 0.750 0.750 0.750

Summary:
Density, g/cm³: 14.810
Total magnetization, Bohr magnetons per cell: 0.00
Crystal system: cubic
DOS at the Fermi energy, states/eV/f.u.: 4.64



Energies relative to the minimum, meV per atom: #a 0; #b 329